(1)
## CsLiTm2Se4 (GGA-PBE)

Data for a relaxed structure of CsLiTm2Se4.

Unit cell a=4.2019 b=14.3315 c=14.6525 alpha=90.00 beta=90.00 gamma=90.00
Last column: nearest neighbours and their distance in Å.
Space group Cmcm (No. 63)
One atom of each set of equivalent atoms:
Cs 0.0000 0.1067 0.2500 (multiplicity 4)  6 Se 3.46-3.58, 2 Li 3.77
Li 0.0000 0.1747 0.7500 (multiplicity 4)  4 Se 2.46-2.49
Tm 0.0000 0.3658 0.0611 (multiplicity 8)  6 Se 2.82-2.99
Se 0.0000 0.0000 0.0000 (multiplicity 4)  4 Tm 2.99
Se 0.0000 0.2589 0.6017 (multiplicity 8)  1 Li 2.49
Se 0.0000 0.4146 0.2500 (multiplicity 4)  2 Li 2.46

Results
- E (eV/atom) = -4.88
- ΔE_f (raw) (meV per atom) = -1670
- theoretical density (g/cm3) = 5.97
- calculated volume (A^3/atom) = 27.57

(2)
## TaReSe (GGA-PBE)

Data for a relaxed structure of TaReSe.

Unit cell a=3.1793 b=3.1793 c=11.5999 alpha=90.00 beta=90.00 gamma=120.00
Last column: nearest neighbours and their distance in Å.
Space group P-6m2 (No. 187)
One atom of each set of equivalent atoms:
Ta 0.0000 0.0000 0.0000 (multiplicity 1)  6 Re 2.77
Ta 0.3333 0.6667 0.5000 (multiplicity 1)  6 Se 2.61
Re 0.3333 0.6667 0.1790 (multiplicity 2)  3 Se 2.62, 3 Ta 2.77
Se 0.0000 0.0000 0.3403 (multiplicity 2)  3 Ta 2.61, 3 Re 2.62

Results
- E (eV/atom) = -9.09
- ΔE_f (raw) (meV per atom) = 176
- excess energy over the best structure of this formula in the dataset (meV/atom) = 99
- theoretical density (g/cm3) = 14.59
- calculated volume (A^3/atom) = 16.92

(3)
## Cs2Cd3Br8 (GGA-PBE)

Data for a relaxed structure of Cs2Cd3Br8.

Unit cell a=17.3258 b=8.3994 c=7.3679 alpha=90.00 beta=107.14 gamma=90.00
Last column: nearest neighbours and their distance in Å.
Space group C2/m (No. 12)
One atom of each set of equivalent atoms:
Cs 0.2355 0.0000 0.1764 (multiplicity 4)  6 Br 3.55-3.72
Cd 0.0000 0.2434 0.5000 (multiplicity 4)  6 Br 2.79-2.93
Cd 0.0000 0.5000 0.0000 (multiplicity 2)  6 Br 2.78-2.90
Br 0.0907 0.2693 0.8844 (multiplicity 8)  2 Cd 2.78-2.81
Br 0.0941 0.5000 0.3975 (multiplicity 4)  3 Cd 2.90-2.93
Br 0.1053 0.0000 0.4693 (multiplicity 4)  2 Cd 2.79

Results
- E (eV/atom) = -2.52
- ΔE_f (raw) (meV per atom) = -1148
- theoretical density (g/cm3) = 4.03
- calculated volume (A^3/atom) = 39.41

(4)
## ThH4Ir (GGA-PBE)

Data for a relaxed structure of ThH4Ir.

Unit cell a=4.4679 b=4.5102 c=6.3006 alpha=90.00 beta=101.82 gamma=90.00
Last column: nearest neighbours and their distance in Å.
Space group P2_1/m (No. 11)
One atom of each set of equivalent atoms:
Th 0.2029 0.2500 0.2763 (multiplicity 2)  11 H 2.44-2.65
H 0.0133 0.7500 0.1187 (multiplicity 2)  1 Ir 1.74
H 0.2708 0.5451 0.6063 (multiplicity 4)  1 Ir 1.72, 1 H 1.85
H 0.5000 0.0000 0.0000 (multiplicity 2)  2 Ir 1.83
Ir 0.3230 0.2500 0.7818 (multiplicity 2)  5 H 1.72-1.83

Results
- E (eV/atom) = -5.37
- theoretical density (g/cm3) = 11.45
- calculated volume (A^3/atom) = 10.36

(5)
## Ti5Ag3O12 (GGA-PBE)

Data for a relaxed structure of Ti5Ag3O12.

Unit cell a=12.7413 b=12.7413 c=12.7413 alpha=90.00 beta=90.00 gamma=90.00
Last column: nearest neighbours and their distance in Å.
Space group Ia-3d (No. 230)
One atom of each set of equivalent atoms:
Ti 0.0000 0.0000 0.0000 (multiplicity 16)  6 O 1.98
Ti 0.0000 0.2500 0.3750 (multiplicity 24)  4 O 1.84
Ag 0.0000 0.2500 0.1250 (multiplicity 24)  8 O 2.51-2.69
O 0.0358 0.0429 0.6449 (multiplicity 96)  2 Ti 1.84-1.98

Results
- E (eV/atom) = -7.56
- ΔE_f (raw) (meV per atom) = -2181
- theoretical density (g/cm3) = 4.85
- calculated volume (A^3/atom) = 12.93

(6)
## BaLiCaMg2 (GGA-PBE)

Data for a relaxed structure of BaLiCaMg2.

Unit cell a=5.4953 b=5.4953 c=5.5291 alpha=90.00 beta=90.00 gamma=90.00
Last column: nearest neighbours and their distance in Å.
Space group P4/mmm (No. 123)
One atom of each set of equivalent atoms:
Ba 0.0000 0.0000 0.0000 (multiplicity 1)  4 Ca 3.89, 8 Mg 3.90
Li 0.5000 0.5000 0.5000 (multiplicity 1)  4 Mg 2.75, 2 Ca 2.76
Ca 0.5000 0.5000 0.0000 (multiplicity 1)  2 Li 2.76
Mg 0.0000 0.5000 0.5000 (multiplicity 2)  2 Li 2.75

Results
- E (eV/atom) = -1.72
- theoretical density (g/cm3) = 2.32
- calculated volume (A^3/atom) = 33.39
- DFT formation energy (eV per atom) = 0.081

(7)
## Al4AgSb (GGA-PBE)

Data for a relaxed structure of Al4AgSb.

Unit cell a=7.7638 b=7.7638 c=7.7638 alpha=90.00 beta=90.00 gamma=90.00
Last column: nearest neighbours and their distance in Å.
Space group F-43m (No. 216)
One atom of each set of equivalent atoms:
Al 0.1254 0.1254 0.1254 (multiplicity 16)  6 Al 2.74-2.75
Ag 0.0000 0.0000 0.5000 (multiplicity 4)  12 Al 3.22, 4 Sb 3.36
Sb 0.2500 0.2500 0.7500 (multiplicity 4)  12 Al 3.22, 4 Ag 3.36

Results
- E (eV/atom) = -3.45
- ΔE_f (raw) (meV per atom) = 211
- theoretical density (g/cm3) = 4.79
- calculated volume (A^3/atom) = 19.50

(8)
## AcScF6 (GGA-PBE)

Data for a relaxed structure of AcScF6.

Unit cell a=5.9992 b=5.9992 c=15.6751 alpha=90.00 beta=90.00 gamma=120.00
Last column: nearest neighbours and their distance in Å.
Space group R-3 (No. 148, hexagonal axes)
One atom of each set of equivalent atoms:
Ac 0.0000 0.0000 0.0000 (multiplicity 3)  6 F 2.43
Sc 0.0000 0.0000 0.5000 (multiplicity 3)  6 F 2.04
F 0.0311 0.6025 0.2425 (multiplicity 18)  1 Sc 2.04

Results
- E (eV/atom) = -6.76
- ΔE_f (raw) (meV per atom) = -4051
- theoretical density (g/cm3) = 3.94
- calculated volume (A^3/atom) = 20.35

(9)
## ZrTlPdCl6 (GGA-PBE)

Data for a relaxed structure of ZrTlPdCl6.

Unit cell a=6.4960 b=6.8027 c=7.0850 alpha=87.38 beta=64.03 gamma=85.58
Last column: nearest neighbours and their distance in Å.
Space group P1 (No. 1)
One atom of each set of equivalent atoms:
Zr 0.0000 0.0000 0.0000 (multiplicity 1)  6 Cl 2.44-2.58
Tl 0.6678 0.5077 0.6462 (multiplicity 1)  6 Cl 3.21-3.34
Pd 0.3894 0.9949 0.1476 (multiplicity 1)  4 Cl 2.44-2.51
Cl 0.0282 0.1996 0.2792 (multiplicity 1)  1 Pd 2.45, 1 Zr 2.53
Cl 0.2335 0.7137 0.0653 (multiplicity 1)  1 Pd 2.44, 1 Zr 2.53
Cl 0.2711 0.2037 0.7256 (multiplicity 1)  1 Zr 2.44
Cl 0.6627 0.8142 0.2694 (multiplicity 1)  1 Pd 2.51, 1 Zr 2.57
Cl 0.6671 0.2563 0.0460 (multiplicity 1)  1 Pd 2.48, 1 Zr 2.58
Cl 0.9735 0.8160 0.7224 (multiplicity 1)  1 Zr 2.45

Results
- E (eV/atom) = -4.24
- ΔE_f (raw) (meV per atom) = -1219
- theoretical density (g/cm3) = 3.64
- calculated volume (A^3/atom) = 31.18

(10)
## Pm4Ti6O19 (GGA-PBE)

Data for a relaxed structure of Pm4Ti6O19.

Unit cell a=8.8338 b=8.8338 c=8.8338 alpha=90.00 beta=90.00 gamma=90.00
Last column: nearest neighbours and their distance in Å.
Space group I23 (No. 197)
One atom of each set of equivalent atoms:
Pm 0.1610 0.1610 0.1610 (multiplicity 8)  10 O 2.46-2.62
Ti 0.0000 0.1668 0.5000 (multiplicity 12)  6 O 1.95-1.97
O 0.0000 0.0000 0.0000 (multiplicity 2)  4 Pm 2.46
O 0.0000 0.0000 0.3515 (multiplicity 12)  2 Ti 1.97
O 0.0483 0.2851 0.6819 (multiplicity 24)  2 Ti 1.95-1.96

Results
- E (eV/atom) = -8.53
- ΔE_f (raw) (meV per atom) = -2994
- theoretical density (g/cm3) = 5.64
- calculated volume (A^3/atom) = 11.89

(11)
## Gd2CuSe (GGA-PBE)

Data for a relaxed structure of Gd2CuSe.

Unit cell a=3.6144 b=3.6144 c=6.8772 alpha=90.00 beta=90.00 gamma=90.00
Last column: nearest neighbours and their distance in Å.
Space group P4/mmm (No. 123)
One atom of each set of equivalent atoms:
Gd 0.0000 0.0000 0.2457 (multiplicity 2)  4 Cu 3.06, 4 Se 3.10, 1 Gd 3.38
Cu 0.5000 0.5000 0.0000 (multiplicity 1)  8 Gd 3.06
Se 0.5000 0.5000 0.5000 (multiplicity 1)  8 Gd 3.10, 2 Cu 3.44

Results
- E (eV/atom) = -9.77
- ΔE_f (raw) (meV per atom) = -837
- excess energy over the best structure of this formula in the dataset (meV/atom) = 101
- theoretical density (g/cm3) = 8.45
- calculated volume (A^3/atom) = 22.46

(12)
## NdLuHfTh (GGA-PBE)

Data for a relaxed structure of NdLuHfTh.

Unit cell a=7.7461 b=7.7461 c=7.7461 alpha=90.00 beta=90.00 gamma=90.00
Last column: nearest neighbours and their distance in Å.
Space group F-43m (No. 216)
One atom of each set of equivalent atoms:
Nd 0.0000 0.0000 0.0000 (multiplicity 4)  4 Hf 3.35, 4 Lu 3.35
Lu 0.2500 0.2500 0.7500 (multiplicity 4)  4 Nd 3.35, 4 Th 3.35
Hf 0.2500 0.2500 0.2500 (multiplicity 4)  4 Th 3.35, 4 Nd 3.35
Th 0.0000 0.0000 0.5000 (multiplicity 4)  4 Hf 3.35, 4 Lu 3.35

Results
- E (eV/atom) = -6.47
- theoretical density (g/cm3) = 10.43
- calculated volume (A^3/atom) = 29.05
- DFT formation energy (eV per atom) = 0.192

(13)
## YGa4Fe (GGA-PBE)

Data for a relaxed structure of YGa4Fe.

Unit cell a=7.6111 b=3.9909 c=6.7692 alpha=90.00 beta=90.00 gamma=90.00
Last column: nearest neighbours and their distance in Å.
Space group Pmma (No. 51)
One atom of each set of equivalent atoms:
Y 0.2500 0.0000 0.1245 (multiplicity 2)  1 Fe 2.92, 12 Ga 3.00-3.19
Ga 0.0000 0.0000 0.5000 (multiplicity 2)  2 Fe 2.31
Ga 0.0693 0.5000 0.8176 (multiplicity 4)  2 Fe 2.57, 3 Ga 2.69-2.81
Ga 0.2500 0.5000 0.4550 (multiplicity 2)  2 Fe 2.56, 6 Ga 2.77-2.81
Fe 0.2500 0.0000 0.6931 (multiplicity 2)  8 Ga 2.31-2.57

Results
- E (eV/atom) = -4.92
- excess energy over the best structure of this formula in the dataset (meV/atom) = 0
- theoretical density (g/cm3) = 6.84
- calculated volume (A^3/atom) = 17.13
- DFT formation energy (eV per atom) = -0.418

(14)
## CaOsW3 (GGA-PBE)

Data for a relaxed structure of CaOsW3.

Unit cell a=4.4883 b=4.4883 c=4.4883 alpha=90.00 beta=90.00 gamma=90.00
Last column: nearest neighbours and their distance in Å.
Space group Pm-3m (No. 221)
One atom of each set of equivalent atoms:
Ca 0.0000 0.0000 0.0000 (multiplicity 1)  6 W 2.24
Os 0.5000 0.5000 0.5000 (multiplicity 1)  12 W 3.17
W 0.0000 0.0000 0.5000 (multiplicity 3)  2 Ca 2.24

Results
- E (eV/atom) = -7.05
- excess energy over the best structure of this formula in the dataset (meV/atom) = 1796
- theoretical density (g/cm3) = 14.36
- calculated volume (A^3/atom) = 18.08
- DFT formation energy (eV per atom) = 3.373

(15)
## FeTcNi (GGA-PBE)

Data for a relaxed structure of FeTcNi.

Unit cell a=2.6162 b=2.6162 c=6.3711 alpha=90.00 beta=90.00 gamma=120.00
Last column: nearest neighbours and their distance in Å.
Space group P3m1 (No. 156)
One atom of each set of equivalent atoms:
Fe 0.0000 0.0000 0.0000 (multiplicity 1)  3 Ni 2.52, 6 Fe 2.62, 3 Tc 2.67
Tc 0.3333 0.6667 0.6548 (multiplicity 1)  6 Tc 2.62, 3 Ni 2.63, 3 Fe 2.67
Ni 0.6667 0.3333 0.3164 (multiplicity 1)  3 Fe 2.52, 6 Ni 2.62, 3 Tc 2.63

Results
- E (eV/atom) = -8.06
- excess energy over the best structure of this formula in the dataset (meV/atom) = 110
- theoretical density (g/cm3) = 9.35
- calculated volume (A^3/atom) = 12.59
- DFT formation energy (eV per atom) = 0.144

(16)
## K3Nd2RuO6 (GGA-PBE)

Data for a relaxed structure of K3Nd2RuO6.

Unit cell a=6.0268 b=10.3574 c=6.5664 alpha=90.00 beta=107.36 gamma=90.00
Last column: nearest neighbours and their distance in Å.
Space group C2/m (No. 12)
One atom of each set of equivalent atoms:
K 0.0000 0.0000 0.0000 (multiplicity 2)  6 O 2.73-2.94
K 0.0000 0.3406 0.0000 (multiplicity 4)  6 O 2.71-2.93
Nd 0.0000 0.1692 0.5000 (multiplicity 4)  6 O 2.39-2.41
Ru 0.0000 0.5000 0.5000 (multiplicity 2)  6 O 2.16-2.23
O 0.2210 0.3450 0.6932 (multiplicity 8)  1 Ru 2.23, 2 Nd 2.39
O 0.2421 0.5000 0.3155 (multiplicity 4)  1 Ru 2.16, 2 Nd 2.41

Results
- E (eV/atom) = -6.31
- ΔE_f (raw) (meV per atom) = -1984
- theoretical density (g/cm3) = 5.12
- calculated volume (A^3/atom) = 16.30

(17)
## Dy3Er4 (GGA-PBE)

Data for a relaxed structure of Dy3Er4.

Unit cell a=3.5087 b=4.9681 c=24.6141 alpha=90.00 beta=90.00 gamma=90.00
Last column: nearest neighbours and their distance in Å.
Space group Immm (No. 71)
One atom of each set of equivalent atoms:
Dy 0.0000 0.0000 0.0000 (multiplicity 2)  4 Dy 3.51-3.52, 8 Er 3.51
Dy 0.0000 0.0000 0.1430 (multiplicity 4)  9 Er 3.51, 3 Dy 3.51-3.52
Er 0.0000 0.0000 0.2855 (multiplicity 4)  5 Dy 3.51, 7 Er 3.51-3.52
Er 0.0000 0.0000 0.4284 (multiplicity 4)  4 Er 3.51-3.52, 8 Dy 3.51

Results
- E (eV/atom) = -4.56
- theoretical density (g/cm3) = 8.95
- calculated volume (A^3/atom) = 30.65
- DFT formation energy (eV per atom) = 0.021

(18)
## GaSb2RhI (GGA-PBE)

Data for a relaxed structure of GaSb2RhI.

Unit cell a=5.0985 b=5.0985 c=5.9106 alpha=90.00 beta=90.00 gamma=90.00
Last column: nearest neighbours and their distance in Å.
Space group P4/mmm (No. 123)
One atom of each set of equivalent atoms:
Ga 0.0000 0.0000 0.0000 (multiplicity 1)  4 I 3.61, 8 Sb 3.90
Sb 0.0000 0.5000 0.5000 (multiplicity 2)  2 Rh 2.55
Rh 0.5000 0.5000 0.5000 (multiplicity 1)  4 Sb 2.55
I 0.5000 0.5000 0.0000 (multiplicity 1)  2 Rh 2.96

Results
- E (eV/atom) = -3.78
- ΔE_f (raw) (meV per atom) = 259
- excess energy over the best structure of this formula in the dataset (meV/atom) = 0
- theoretical density (g/cm3) = 5.87
- calculated volume (A^3/atom) = 30.73

(19)
## ScCu2Sn (GGA-PBE)

Data for a relaxed structure of ScCu2Sn.

Unit cell a=4.2255 b=4.2255 c=3.8574 alpha=90.00 beta=90.00 gamma=90.00
Last column: nearest neighbours and their distance in Å.
Space group P4/mmm (No. 123)
One atom of each set of equivalent atoms:
Sc 0.0000 0.0000 0.0000 (multiplicity 1)  8 Cu 2.86, 4 Sn 2.99
Cu 0.0000 0.5000 0.5000 (multiplicity 2)  4 Sn 2.86, 4 Sc 2.86, 4 Cu 2.99
Sn 0.5000 0.5000 0.0000 (multiplicity 1)  8 Cu 2.86, 4 Sc 2.99

Results
- E (eV/atom) = -4.88
- theoretical density (g/cm3) = 7.01
- calculated volume (A^3/atom) = 17.22
- DFT formation energy (eV per atom) = -0.245

(20)
## PaPtAuN (GGA-PBE)

Data for a relaxed structure of PaPtAuN.

Unit cell a=3.8625 b=3.8625 c=9.5362 alpha=90.00 beta=90.00 gamma=90.00
Last column: nearest neighbours and their distance in Å.
Space group P4/nmm (No. 129, origin choice 2)
One atom of each set of equivalent atoms:
Pa 0.2500 0.2500 0.1274 (multiplicity 2)  4 N 2.28
Pt 0.2500 0.2500 0.7202 (multiplicity 2)  4 Au 2.85, 4 Pa 3.09
Au 0.2500 0.7500 0.5000 (multiplicity 2)  4 Au 2.73, 4 Pt 2.85
N 0.2500 0.7500 0.0000 (multiplicity 2)  4 Pa 2.28

Results
- E (eV/atom) = -7.72
- ΔE_f (raw) (meV per atom) = -937
- theoretical density (g/cm3) = 14.87
- calculated volume (A^3/atom) = 17.78